# 1
{
  "formula": "HfMoCBr2",
  "functional": "PBE",
  "state": "optimized geometry",
  "cell": [[3.438, 0.000, 0.000], [-1.719, 2.977, 0.000], [0.000, 0.000, 9.730]],
  "species": ["Br", "Br", "C", "Hf", "Mo"],
  "fractional_positions": [[0.333, 0.667, 0.193], [0.667, 0.333, 0.803], [0.000, 0.000, 0.508], [0.667, 0.333, 0.393], [0.333, 0.667, 0.603]]
}



# 2
{
  "formula": "TbGdTeO2",
  "functional": "PBE",
  "state": "optimized geometry",
  "relative_energy_ev_per_atom": 0.000,
  "cell": [[2.034, 4.515, 4.731], [-3.162, 2.650, 5.468], [1.534, -5.667, -3.528]],
  "species": ["Gd", "O", "O", "Tb", "Te"],
  "fractional_positions": [[0.661, 0.661, 0.000], [0.751, 0.251, 0.500], [0.251, 0.751, 0.500], [0.338, 0.338, 0.000], [0.000, 0.000, 0.000]]
}



# 3
{
  "formula": "NdGdGa2Pt4",
  "functional": "PBE",
  "state": "optimized geometry",
  "cell": [[4.413, 0.000, 0.000], [-2.207, 3.822, 0.000], [0.000, 0.000, 9.337]],
  "species": ["Ga", "Ga", "Gd", "Nd", "Pt", "Pt", "Pt", "Pt"],
  "fractional_positions": [[0.333, 0.667, 0.247], [0.333, 0.667, 0.753], [0.000, 0.000, 0.000], [0.667, 0.333, 0.500], [0.667, 0.333, 0.164], [0.000, 0.000, 0.325], [0.000, 0.000, 0.675], [0.667, 0.333, 0.836]]
}



# 4
{
  "formula": "NdTlOs",
  "functional": "PBE",
  "state": "optimized geometry",
  "cell": [[0.000, 3.395, 3.395], [3.395, 0.000, 3.395], [3.395, 3.395, 0.000]],
  "species": ["Nd", "Os", "Tl"],
  "fractional_positions": [[0.250, 0.250, 0.250], [0.750, 0.750, 0.750], [0.000, 0.000, 0.000]]
}



# 5
{
  "formula": "Pr2Al5Ga",
  "functional": "PBE",
  "state": "optimized geometry",
  "cell": [[-0.547, -2.048, -4.058], [-6.377, -0.944, 1.336], [-4.458, 4.540, -1.690]],
  "species": ["Al", "Al", "Al", "Al", "Al", "Ga", "Pr", "Pr"],
  "fractional_positions": [[0.500, 0.141, 0.141], [0.500, 0.720, 0.143], [0.000, 0.858, 0.279], [0.500, 0.143, 0.720], [0.000, 0.279, 0.858], [0.000, 0.858, 0.858], [0.000, 0.332, 0.332], [0.500, 0.668, 0.668]]
}



# 6
{
  "formula": "NbCu3Se4",
  "functional": "PBE",
  "state": "optimized geometry",
  "cell": [[1.245, 3.331, 5.864], [-4.570, 5.068, 0.679], [-0.799, -6.678, -1.341]],
  "species": ["Cu", "Cu", "Cu", "Nb", "Se", "Se", "Se", "Se"],
  "fractional_positions": [[0.500, 0.500, 0.000], [0.750, 0.250, 0.500], [0.250, 0.750, 0.500], [0.000, 0.000, 0.000], [0.622, 0.125, 0.000], [0.125, 0.622, 0.000], [0.875, 0.875, 0.497], [0.378, 0.378, 0.503]]
}



# 7
{
  "formula": "CsNiPd",
  "functional": "PBE",
  "state": "optimized geometry",
  "relative_energy_ev_per_atom": 0.000,
  "cell": [[3.970, -2.479, 0.030], [2.742, 0.018, 3.793], [0.343, -3.837, 2.658]],
  "species": ["Cs", "Ni", "Pd"],
  "fractional_positions": [[0.250, 0.250, 0.250], [0.000, 0.000, 0.000], [0.750, 0.750, 0.750]]
}



# 8
{
  "formula": "Nb3Sn3W2N12",
  "functional": "PBE",
  "state": "optimized geometry",
  "cell": [[-6.362, 6.362, 6.362], [6.362, -6.362, 6.362], [6.362, 6.362, -6.362]],
  "species": ["N", "N", "N", "N", "N", "N", "N", "N", "N", "N", "N", "N", "N", "N", "N", "N", "N", "N", "N", "N", "N", "N", "N", "N", "N", "N", "N", "N", "N", "N", "N", "N", "N", "N", "N", "N", "N", "N", "N", "N", "N", "N", "N", "N", "N", "N", "N", "N", "Nb", "Nb", "Nb", "Nb", "Nb", "Nb", "Nb", "Nb", "Nb", "Nb", "Nb", "Nb", "Sn", "Sn", "Sn", "Sn", "Sn", "Sn", "Sn", "Sn", "Sn", "Sn", "Sn", "Sn", "W", "W", "W", "W", "W", "W", "W", "W"],
  "fractional_positions": [[0.206, 0.112, 0.029], [0.324, 0.917, 0.029], [0.971, 0.676, 0.083], [0.612, 0.407, 0.083], [0.888, 0.417, 0.093], [0.706, 0.676, 0.093], [0.029, 0.206, 0.112], [0.583, 0.907, 0.112], [0.471, 0.583, 0.176], [0.206, 0.593, 0.176], [0.112, 0.029, 0.206], [0.593, 0.176, 0.206], [0.471, 0.388, 0.294], [0.324, 0.907, 0.294], [0.917, 0.029, 0.324], [0.907, 0.294, 0.324], [0.294, 0.471, 0.388], [0.593, 0.917, 0.388], [0.824, 0.794, 0.407], [0.083, 0.612, 0.407], [0.093, 0.888, 0.417], [0.824, 0.529, 0.417], [0.583, 0.176, 0.471], [0.388, 0.294, 0.471], [0.612, 0.706, 0.529], [0.417, 0.824, 0.529], [0.176, 0.471, 0.583], [0.907, 0.112, 0.583], [0.176, 0.206, 0.593], [0.917, 0.388, 0.593], [0.407, 0.083, 0.612], [0.706, 0.529, 0.612], [0.083, 0.971, 0.676], [0.093, 0.706, 0.676], [0.676, 0.093, 0.706], [0.529, 0.612, 0.706], [0.407, 0.824, 0.794], [0.888, 0.971, 0.794], [0.794, 0.407, 0.824], [0.529, 0.417, 0.824], [0.971, 0.794, 0.888], [0.417, 0.093, 0.888], [0.294, 0.324, 0.907], [0.112, 0.583, 0.907], [0.388, 0.593, 0.917], [0.029, 0.324, 0.917], [0.676, 0.083, 0.971], [0.794, 0.888, 0.971], [0.875, 0.250, 0.125], [0.750, 0.875, 0.125], [0.625, 0.375, 0.250], [0.125, 0.875, 0.250], [0.250, 0.625, 0.375], [0.625, 0.750, 0.375], [0.375, 0.250, 0.625], [0.750, 0.375, 0.625], [0.875, 0.125, 0.750], [0.375, 0.625, 0.750], [0.250, 0.125, 0.875], [0.125, 0.750, 0.875], [0.250, 0.375, 0.125], [0.375, 0.750, 0.125], [0.375, 0.125, 0.250], [0.875, 0.625, 0.250], [0.750, 0.125, 0.375], [0.125, 0.250, 0.375], [0.875, 0.750, 0.625], [0.250, 0.875, 0.625], [0.125, 0.375, 0.750], [0.625, 0.875, 0.750], [0.625, 0.250, 0.875], [0.750, 0.625, 0.875], [0.000, 0.000, 0.000], [0.500, 0.000, 0.000], [0.000, 0.500, 0.000], [0.500, 0.500, 0.000], [0.000, 0.000, 0.500], [0.500, 0.000, 0.500], [0.000, 0.500, 0.500], [0.500, 0.500, 0.500]]
}



# 9
{
  "formula": "CsBPt",
  "functional": "PBE",
  "state": "optimized geometry",
  "relative_energy_ev_per_atom": 0.000,
  "cell": [[0.000, 3.417, 3.417], [3.417, 0.000, 3.417], [3.417, 3.417, 0.000]],
  "species": ["B", "Cs", "Pt"],
  "fractional_positions": [[0.250, 0.250, 0.250], [0.750, 0.750, 0.750], [0.000, 0.000, 0.000]]
}



# 10
{
  "formula": "LiGaPtPb",
  "functional": "PBE",
  "state": "optimized geometry",
  "relative_energy_ev_per_atom": 0.000,
  "cell": [[-4.583, 0.153, 0.961], [-2.197, 4.128, 0.288], [-3.050, 1.267, -3.323]],
  "species": ["Ga", "Li", "Pb", "Pt"],
  "fractional_positions": [[0.500, 0.500, 0.500], [0.750, 0.750, 0.750], [0.000, 0.000, 0.000], [0.250, 0.250, 0.250]]
}



# 11
{
  "formula": "CdSnTeO",
  "functional": "PBE",
  "state": "optimized geometry",
  "relative_energy_ev_per_atom": 0.291,
  "cell": [[-1.470, 0.982, 3.490], [-2.306, -0.014, -3.160], [-3.252, -13.520, 2.435]],
  "species": ["Cd", "Cd", "O", "O", "Sn", "Sn", "Te", "Te"],
  "fractional_positions": [[0.333, 0.667, 0.271], [0.667, 0.333, 0.771], [0.000, 0.000, 0.323], [0.000, 0.000, 0.823], [0.000, 0.000, 0.477], [0.000, 0.000, 0.977], [0.667, 0.333, 0.116], [0.333, 0.667, 0.616]]
}



# 12
{
  "formula": "Li8HgAu2",
  "functional": "PBE",
  "state": "optimized geometry",
  "cell": [[2.121, 0.263, 3.834], [-2.216, -0.437, 3.764], [1.656, -9.984, -2.758]],
  "species": ["Au", "Au", "Hg", "Li", "Li", "Li", "Li", "Li", "Li", "Li", "Li"],
  "fractional_positions": [[0.453, 0.453, 0.359], [0.547, 0.547, 0.641], [0.000, 0.000, 0.000], [0.366, 0.366, 0.097], [0.730, 0.730, 0.190], [0.092, 0.092, 0.275], [0.820, 0.820, 0.459], [0.180, 0.180, 0.541], [0.908, 0.908, 0.725], [0.270, 0.270, 0.810], [0.634, 0.634, 0.903]]
}



# 13
{
  "formula": "Mg4Sn2IrPt",
  "functional": "PBE",
  "state": "optimized geometry",
  "cell": [[-0.418, 2.623, -3.753], [1.383, -4.368, -0.390], [-8.172, -2.512, -0.844]],
  "species": ["Ir", "Mg", "Mg", "Mg", "Mg", "Pt", "Sn", "Sn"],
  "fractional_positions": [[0.000, 0.000, 0.000], [0.333, 0.667, 0.170], [0.000, 0.000, 0.321], [0.000, 0.000, 0.679], [0.333, 0.667, 0.830], [0.333, 0.667, 0.500], [0.667, 0.333, 0.000], [0.667, 0.333, 0.500]]
}



# 14
{
  "formula": "Be2ZnIr2",
  "functional": "PBE",
  "state": "optimized geometry",
  "cell": [[-4.096, -4.409, -1.870], [3.573, -1.173, -5.057], [1.471, -2.005, 1.505]],
  "species": ["Be", "Be", "Be", "Be", "Ir", "Ir", "Ir", "Ir", "Zn", "Zn"],
  "fractional_positions": [[0.627, 0.127, 0.000], [0.127, 0.373, 0.000], [0.873, 0.627, 0.000], [0.373, 0.873, 0.000], [0.335, 0.165, 0.500], [0.835, 0.335, 0.500], [0.165, 0.665, 0.500], [0.665, 0.835, 0.500], [0.000, 0.000, 0.000], [0.500, 0.500, 0.000]]
}



# 15
{
  "formula": "LaSi2GeOs",
  "functional": "PBE",
  "state": "optimized geometry",
  "cell": [[-2.161, 2.161, 5.093], [2.161, -2.161, 5.093], [2.161, 2.161, -5.093]],
  "species": ["Ge", "La", "Os", "Si", "Si"],
  "fractional_positions": [[0.998, 0.998, 0.000], [0.421, 0.421, 0.000], [0.758, 0.758, 0.000], [0.660, 0.160, 0.500], [0.160, 0.660, 0.500]]
}



# 16
{
  "formula": "Hf4CuB3",
  "functional": "PBE",
  "state": "optimized geometry",
  "cell": [[-3.338, -0.653, -0.121], [2.226, -2.298, -1.161], [1.176, -10.141, 22.321]],
  "species": ["B", "B", "B", "B", "B", "B", "Cu", "Cu", "Hf", "Hf", "Hf", "Hf", "Hf", "Hf", "Hf", "Hf"],
  "fractional_positions": [[0.000, 0.000, 0.000], [0.667, 0.333, 0.117], [0.667, 0.333, 0.383], [0.000, 0.000, 0.500], [0.333, 0.667, 0.617], [0.333, 0.667, 0.883], [0.333, 0.667, 0.250], [0.667, 0.333, 0.750], [0.333, 0.667, 0.058], [0.000, 0.000, 0.167], [0.000, 0.000, 0.333], [0.333, 0.667, 0.442], [0.667, 0.333, 0.558], [0.000, 0.000, 0.667], [0.000, 0.000, 0.833], [0.667, 0.333, 0.942]]
}



# 17
{
  "formula": "PrC",
  "functional": "PBE",
  "state": "optimized geometry",
  "relative_energy_ev_per_atom": 0.000,
  "cell": [[0.000, 2.685, 2.685], [2.685, 0.000, 2.685], [2.685, 2.685, 0.000]],
  "species": ["C", "Pr"],
  "fractional_positions": [[0.000, 0.000, 0.000], [0.500, 0.500, 0.500]]
}



# 18
{
  "formula": "ScZn8Cu4",
  "functional": "PBE",
  "state": "optimized geometry",
  "delta_e_f_ev_per_atom": -0.178,
  "cell": [[-4.333, 4.333, 2.474], [4.333, -4.333, 2.474], [4.333, 4.333, -2.474]],
  "species": ["Cu", "Cu", "Cu", "Cu", "Sc", "Zn", "Zn", "Zn", "Zn", "Zn", "Zn", "Zn", "Zn"],
  "fractional_positions": [[0.500, 0.000, 0.000], [0.000, 0.500, 0.000], [0.000, 0.000, 0.500], [0.500, 0.500, 0.500], [0.000, 0.000, 0.000], [0.714, 0.500, 0.214], [0.500, 0.714, 0.214], [0.344, 0.000, 0.344], [0.000, 0.344, 0.344], [0.656, 0.000, 0.656], [0.000, 0.656, 0.656], [0.500, 0.286, 0.786], [0.286, 0.500, 0.786]]
}



# 19
{
  "formula": "Sm2Al5Cu5",
  "functional": "PBE",
  "state": "optimized geometry",
  "cell": [[-0.988, -1.239, 3.798], [3.494, -4.012, -0.399], [6.522, 5.338, 3.438]],
  "species": ["Al", "Al", "Al", "Al", "Al", "Cu", "Cu", "Cu", "Cu", "Cu", "Sm", "Sm"],
  "fractional_positions": [[0.500, 0.249, 0.240], [0.500, 0.751, 0.240], [0.500, 0.500, 0.500], [0.500, 0.249, 0.760], [0.500, 0.751, 0.760], [0.500, 0.000, 0.000], [0.000, 0.000, 0.165], [0.000, 0.500, 0.333], [0.000, 0.500, 0.667], [0.000, 0.000, 0.835], [0.000, 0.500, 0.000], [0.000, 0.000, 0.500]]
}



# 20
{
  "formula": "Al2HgTe3Se",
  "functional": "PBE",
  "state": "optimized geometry",
  "cell": [[6.158, 0.000, 0.000], [-0.124, 6.199, 0.000], [-2.922, -3.139, 5.833]],
  "species": ["Al", "Al", "Hg", "Se", "Te", "Te", "Te"],
  "fractional_positions": [[0.493, 0.497, 0.011], [0.259, 0.737, 0.490], [0.001, 0.004, 0.998], [0.401, 0.405, 0.270], [0.870, 0.883, 0.286], [0.116, 0.580, 0.722], [0.610, 0.144, 0.723]]
}



# 21
{
  "formula": "BaNaNiAs",
  "functional": "PBE",
  "state": "optimized geometry",
  "relative_energy_ev_per_atom": 0.119,
  "cell": [[0.000, 3.724, 3.724], [3.724, 0.000, 3.724], [3.724, 3.724, 0.000]],
  "species": ["As", "Ba", "Na", "Ni"],
  "fractional_positions": [[0.000, 0.000, 0.000], [0.250, 0.250, 0.250], [0.750, 0.750, 0.750], [0.500, 0.500, 0.500]]
}



# 22
{
  "formula": "LuGeAsO",
  "functional": "PBE",
  "state": "optimized geometry",
  "relative_energy_ev_per_atom": 0.175,
  "cell": [[4.289, 0.000, 0.000], [0.000, 5.601, 0.000], [0.000, 0.000, 5.975]],
  "species": ["As", "As", "Ge", "Ge", "Lu", "Lu", "O", "O"],
  "fractional_positions": [[0.000, 0.924, 0.295], [0.000, 0.076, 0.795], [0.000, 0.381, 0.461], [0.000, 0.619, 0.961], [0.500, 0.241, 0.093], [0.500, 0.759, 0.593], [0.500, 0.430, 0.405], [0.500, 0.570, 0.905]]
}



Number 1: calculated total energy -7.39 eV per atom. Number 2: calculated total energy -7.43 eV per atom. Number 3: calculated total energy -5.98 eV per atom. Number 4: calculated total energy -5.37 eV per atom. Number 5: calculated total energy -4.38 eV per atom. Number 6: calculated total energy -4.75 eV per atom. Number 7: calculated total energy -2.93 eV per atom. Number 8: calculated total energy -8.44 eV per atom. Number 9: calculated total energy -2.90 eV per atom. Number 10: calculated total energy -3.99 eV per atom. Number 11: calculated total energy -3.68 eV per atom. Number 12: calculated total energy -2.37 eV per atom. Number 13: calculated total energy -4.14 eV per atom. Number 14: calculated total energy -5.74 eV per atom. Number 15: calculated total energy -6.95 eV per atom. Number 16: calculated total energy -8.28 eV per atom. Number 17: calculated total energy -6.63 eV per atom. Number 18: calculated total energy -2.59 eV per atom. Number 19: calculated total energy -4.33 eV per atom. Number 20: calculated total energy -3.41 eV per atom. Number 21: calculated total energy -3.36 eV per atom. Number 22: calculated total energy -6.00 eV per atom.